Entry 1:
LaCoSi2Ni: relaxed, GGA-PBE.

Properties
ρ: 6.36 g cm⁻³
total energy: -32.36 eV/cell
space group: I-4m2 (119)

The structure in POSCAR format:
```
LaCoSi2Ni
1.0
4.064 0.000 0.000
0.000 4.064 0.000
-2.032 -2.032 4.944
Si La Co Ni
2 1 1 1
Direct
0.366 0.366 0.733
0.634 0.634 0.267
0.000 0.000 0.000
0.250 0.750 0.500
0.750 0.250 0.500
```



Entry 2:
PrScCoCu: relaxed, GGA-PBE.

Properties
ρ: 6.59 g cm⁻³
space group: F-43m (216)
formation energy from the elements: -0.085 eV/atom

The structure in POSCAR format:
```
PrScCoCu
1.0
-1.914 0.767 4.323
-2.155 -3.583 2.335
2.046 -1.893 3.895
Sc Cu Co Pr
1 1 1 1
Direct
0.250 0.250 0.250
0.500 0.500 0.500
0.000 0.000 0.000
0.750 0.750 0.750
```